This record from Alexandria via LeMat-Bulk describes a relaxed structure of Li4AcPr. The functional is PBE.

a b c (Å): 6.145 6.145 6.145
angles (deg): 60.00 60.00 60.00
Atoms (fractional coordinates):
Pr 0.250 0.250 0.250
Ac 0.000 0.000 0.000
Li 0.624 0.624 0.129
Li 0.624 0.129 0.624
Li 0.624 0.624 0.624
Li 0.129 0.624 0.624

space-group type = F-43m, No. 216
formation energy = 83 meV per atom

This record from Alexandria via LeMat-Bulk describes a relaxed structure of TbEr2Zn2Ge2. The functional is PBE.

a b c (Å): 4.119 4.119 11.238
angles (deg): 79.44 79.44 60.00
Atoms (fractional coordinates):
Tb 0.000 0.000 0.000
Er 0.124 0.124 0.627
Er 0.876 0.876 0.373
Zn 0.610 0.610 0.169
Zn 0.390 0.390 0.831
Ge 0.737 0.737 0.790
Ge 0.263 0.263 0.210

space-group type = R-3m, No. 166
formation energy = -437 meV per atom

This record from Alexandria via LeMat-Bulk describes a relaxed structure of CsNaPaBr6. The functional is PBE.

a b c (Å): 7.643 7.643 16.014
angles (deg): 90.00 90.00 120.00
Site moments in Bohr magnetons follow the coordinates.
Atoms (fractional coordinates):
Cs 0.000 0.000 0.000  0.00
Cs 0.000 0.000 0.500  0.00
Na 0.333 0.667 0.250  0.00
Na 0.667 0.333 0.750  0.00
Pa 0.667 0.333 0.250  1.07
Pa 0.333 0.667 0.750  1.07
Br 0.640 0.620 0.148  -0.01
Br 0.980 0.360 0.148  -0.01
Br 0.360 0.980 0.648  -0.01
Br 0.020 0.640 0.852  -0.01
Br 0.380 0.360 0.352  -0.01
Br 0.980 0.620 0.352  -0.01
Br 0.620 0.980 0.852  -0.01
Br 0.640 0.020 0.352  -0.01
Br 0.020 0.380 0.648  -0.01
Br 0.380 0.020 0.148  -0.01
Br 0.620 0.640 0.648  -0.01
Br 0.360 0.380 0.852  -0.01

space-group type = P-31c, No. 163
energy relative to the elements, uncorrected = -1.6087 eV per atom

This record from Alexandria via LeMat-Bulk describes a relaxed structure of LiCeZr. The functional is PBE.

a b c (Å): 3.078 3.078 8.580
angles (deg): 90.00 90.00 120.00
Atoms (fractional coordinates):
Zr 0.333 0.667 0.675
Ce 0.667 0.333 0.337
Li 0.000 0.000 0.988

space-group type = P3m1, No. 156
formation energy = 180 meV per atom

This record from Alexandria via LeMat-Bulk describes a relaxed structure of Ca2CdTe. The functional is PBE.

a b c (Å): 3.997 3.974 8.322
angles (deg): 61.49 90.00 90.00
Atoms (fractional coordinates):
Ca 0.000 0.999 0.001
Ca 0.000 0.501 0.499
Te 0.500 0.750 0.750
Cd 0.500 0.250 0.250

space-group type = Pmmm, No. 47
energy relative to the elements, uncorrected = -0.8403 eV per atom

This record from Alexandria via LeMat-Bulk describes a relaxed structure of Sc2Al2Cd. The functional is PBE.

a b c (Å): 3.225 4.371 7.428
angles (deg): 107.11 90.00 90.00
Atoms (fractional coordinates):
Sc 0.500 0.620 0.240
Sc 0.500 0.380 0.760
Al 0.000 0.201 0.402
Al 0.000 0.799 0.598
Cd 0.000 0.000 0.000

space-group type = Cmmm, No. 65
formation energy = -395 meV per atom

This record from Alexandria via LeMat-Bulk describes a relaxed structure of Tb3Ce2Y8. The functional is PBE.

a b c (Å): 3.493 11.638 20.865
angles (deg): 90.00 90.00 90.00
Site moments in Bohr magnetons follow the coordinates.
Atoms (fractional coordinates):
Tb 0.000 0.000 0.000  0.03
Tb 0.000 0.500 0.500  0.03
Tb 0.000 0.656 0.200  0.03
Tb 0.000 0.344 0.800  0.03
Tb 0.000 0.156 0.300  0.03
Tb 0.000 0.844 0.700  0.03
Ce 0.500 0.821 0.095  0.68
Ce 0.500 0.179 0.905  0.68
Ce 0.500 0.321 0.405  0.68
Ce 0.500 0.679 0.595  0.68
Y 0.000 0.711 0.947  -0.01
Y 0.000 0.289 0.053  -0.01
Y 0.000 0.211 0.553  -0.01
Y 0.000 0.789 0.447  -0.01
Y 0.000 0.046 0.162  0.06
Y 0.000 0.954 0.838  0.06
Y 0.000 0.546 0.338  0.06
Y 0.000 0.454 0.662  0.06
Y 0.500 0.876 0.289  -0.02
Y 0.500 0.124 0.711  -0.02
Y 0.500 0.376 0.211  -0.02
Y 0.500 0.624 0.789  -0.02
Y 0.500 0.548 0.071  -0.01
Y 0.500 0.452 0.929  -0.01
Y 0.500 0.048 0.429  -0.01
Y 0.500 0.952 0.571  -0.01

space-group type = Pbam, No. 55
formation energy = 167 meV per atom

This record from Alexandria via LeMat-Bulk describes a relaxed structure of AcNbAs3. The functional is PBE.

a b c (Å): 5.041 5.041 5.041
angles (deg): 90.00 90.00 90.00
Atoms (fractional coordinates):
As 0.000 0.500 0.000
As 0.000 0.000 0.500
As 0.500 0.000 0.000
Ac 0.500 0.500 0.500
Nb 0.000 0.000 0.000

space-group type = Pm-3m, No. 221
formation energy = -574 meV per atom

This record from Alexandria via LeMat-Bulk describes a relaxed structure of Rb4Ce3Se8. The functional is PBE.

a b c (Å): 8.836 8.836 9.869
angles (deg): 63.41 63.41 60.00
Atoms (fractional coordinates):
Rb 0.000 0.000 0.000
Rb 0.356 0.356 0.931
Rb 0.500 0.500 0.500
Rb 0.644 0.644 0.069
Ce 0.500 0.000 0.500
Ce 0.000 0.000 0.500
Ce 0.000 0.500 0.500
Se 0.225 0.225 0.326
Se 0.188 0.749 0.314
Se 0.749 0.749 0.314
Se 0.749 0.188 0.314
Se 0.775 0.775 0.674
Se 0.812 0.251 0.686
Se 0.251 0.251 0.686
Se 0.251 0.812 0.686

space-group type = R-3m, No. 166
energy relative to the elements, uncorrected = -1.4653 eV per atom

This record from Alexandria via LeMat-Bulk describes a relaxed structure of Li3Ca2Mg. The functional is PBE.

a b c (Å): 3.742 5.183 8.923
angles (deg): 90.00 90.00 90.00
Atoms (fractional coordinates):
Li 0.500 0.000 0.833
Li 0.500 0.000 0.166
Li 0.500 0.500 0.668
Ca 0.000 0.500 0.001
Ca 0.000 0.000 0.499
Mg 0.500 0.500 0.333

space-group type = Pmm2, No. 25
formation energy = 25 meV per atom

This record from Alexandria via LeMat-Bulk describes a relaxed structure of Ba3TlPb. The functional is PBE.

a b c (Å): 6.755 6.755 6.755
angles (deg): 90.00 90.00 90.00
Site moments in Bohr magnetons follow the coordinates.
Atoms (fractional coordinates):
Pb 0.000 0.000 0.000  0.06
Tl 0.500 0.500 0.500  0.21
Ba 0.000 0.500 0.000  0.08
Ba 0.000 0.000 0.500  0.05
Ba 0.500 0.000 0.000  0.09

space-group type = Pm-3m, No. 221
formation energy = -71 meV per atom

This record from Alexandria via LeMat-Bulk describes a relaxed structure of KSnTeN2. The functional is PBE.

a b c (Å): 4.890 4.890 6.726
angles (deg): 90.00 90.00 90.00
Site moments in Bohr magnetons follow the coordinates.
Atoms (fractional coordinates):
K 0.000 0.000 0.000  0.09
Te 0.000 0.000 0.500  0.12
Sn 0.500 0.500 0.500  -0.09
N 0.000 0.500 0.000  1.64
N 0.500 0.000 0.000  1.64

space-group type = P4/mmm, No. 123
energy relative to the elements, uncorrected = 1.8086 eV per atom

This record from Alexandria via LeMat-Bulk describes a relaxed structure of Be2AgP. The functional is PBE.

a b c (Å): 5.159 5.159 6.389
angles (deg): 66.19 66.19 90.00
Atoms (fractional coordinates):
P 0.500 0.500 0.000
P 0.250 0.750 0.500
Ag 0.000 0.000 0.000
Ag 0.750 0.250 0.500
Be 0.565 0.125 0.250
Be 0.185 0.625 0.250
Be 0.375 0.435 0.750
Be 0.875 0.815 0.750

space-group type = I-42d, No. 122
formation energy = 293 meV per atom

This record from Alexandria via LeMat-Bulk describes a relaxed structure of LiSc2Os. The functional is PBE.

a b c (Å): 4.584 4.584 4.584
angles (deg): 60.00 60.00 60.00
Atoms (fractional coordinates):
Li 0.500 0.500 0.500
Os 0.750 0.750 0.750
Sc 0.000 0.000 0.000
Sc 0.250 0.250 0.250

space-group type = F-43m, No. 216
formation energy = 69 meV per atom

This record from Alexandria via LeMat-Bulk describes a relaxed structure of Sc3SnSe2. The functional is PBE.

a b c (Å): 3.945 5.653 6.909
angles (deg): 114.15 106.60 90.00
Atoms (fractional coordinates):
Sc 0.500 0.500 0.000
Sc 0.174 0.174 0.348
Sc 0.826 0.826 0.652
Sn 0.500 0.000 0.000
Se 0.165 0.665 0.330
Se 0.835 0.335 0.670

space-group type = Immm, No. 71
energy relative to the elements, uncorrected = -1.2593 eV per atom

This record from Alexandria via LeMat-Bulk describes a relaxed structure of CePrHgBr. The functional is PBE.

a b c (Å): 5.394 5.394 5.394
angles (deg): 60.00 60.00 60.00
Site moments in Bohr magnetons follow the coordinates.
Atoms (fractional coordinates):
Pr 0.000 0.000 0.000  0.14
Br 0.250 0.250 0.250  0.00
Hg 0.750 0.750 0.750  0.03
Ce 0.500 0.500 0.500  0.90

space-group type = F-43m, No. 216
energy relative to the elements, uncorrected = -0.5674 eV per atom

This record from Alexandria via LeMat-Bulk describes a relaxed structure of Sm4ScTe7. The functional is PBE.

a b c (Å): 4.275 7.489 13.204
angles (deg): 103.91 90.00 106.58
Atoms (fractional coordinates):
Sm 0.699 0.398 0.804
Sm 0.301 0.601 0.193
Sm 0.999 0.998 0.995
Sm 0.113 0.226 0.431
Sc 0.886 0.771 0.575
Te 0.746 0.492 0.359
Te 0.270 0.541 0.648
Te 0.336 0.672 0.950
Te 0.661 0.323 0.048
Te 0.032 0.064 0.773
Te 0.965 0.930 0.217
Te 0.492 0.984 0.506

space-group type = Cm, No. 8
energy relative to the elements, uncorrected = -1.3726 eV per atom

This record from Alexandria via LeMat-Bulk describes a relaxed structure of NaPt2. The functional is PBE.

a b c (Å): 5.523 5.523 7.063
angles (deg): 72.14 72.14 28.81
Atoms (fractional coordinates):
Na 0.995 0.995 0.992
Na 0.339 0.339 0.339
Pt 0.617 0.617 0.281
Pt 0.949 0.949 0.619
Pt 0.670 0.670 0.661
Pt 0.263 0.263 0.943

space-group type = Cm, No. 8
formation energy = -149 meV per atom

This record from Alexandria via LeMat-Bulk describes a relaxed structure of CrRh. The functional is PBE.

a b c (Å): 7.197 7.197 7.197
angles (deg): 90.00 90.00 90.00
Atoms (fractional coordinates):
Cr 0.126 0.126 0.126
Cr 0.126 0.874 0.874
Cr 0.874 0.126 0.874
Cr 0.874 0.874 0.126
Cr 0.626 0.626 0.626
Cr 0.626 0.374 0.374
Cr 0.374 0.626 0.374
Cr 0.374 0.374 0.626
Rh 0.309 0.309 0.309
Rh 0.309 0.691 0.691
Rh 0.691 0.309 0.691
Rh 0.691 0.691 0.309
Rh 0.809 0.809 0.809
Rh 0.809 0.191 0.191
Rh 0.191 0.809 0.191
Rh 0.191 0.191 0.809

space-group type = I-43m, No. 217
formation energy = 1365 meV per atom

This record from Alexandria via LeMat-Bulk describes a relaxed structure of VPd4W. The functional is PBE.

a b c (Å): 2.770 2.770 11.756
angles (deg): 90.00 90.00 90.00
Atoms (fractional coordinates):
V 0.500 0.500 0.500
Pd 0.500 0.500 0.166
Pd 0.000 0.000 0.654
Pd 0.000 0.000 0.346
Pd 0.500 0.500 0.834
W 0.000 0.000 0.000

space-group type = P4/mmm, No. 123
formation energy = -144 meV per atom